No. 1
# AcNd2Y9 (PBE, optimized geometry)
# - V: 33.67 A^3/atom
# - Total moment: 0.000 μB per cell
# - E_tot: -5.952 eV per atom
data_AcNd2Y9
_symmetry_space_group_name_H-M 'P 1'
_symmetry_Int_Tables_number 1
_cell_length_a 5.124
_cell_length_b 5.124
_cell_length_c 15.388
_cell_angle_alpha 90.00
_cell_angle_beta 90.00
_cell_angle_gamma 90.00
loop_
_symmetry_equiv_pos_as_xyz
'x,y,z'
loop_
_atom_site_label
_atom_site_type_symbol
_atom_site_fract_x
_atom_site_fract_y
_atom_site_fract_z
_atom_site_occupancy
Ac1 Ac 0.000 0.000 0.000 1
Nd1 Nd 0.000 0.000 0.335 1
Nd2 Nd 0.000 0.000 0.665 1
Y1 Y 0.000 0.500 0.172 1
Y2 Y 0.000 0.500 0.500 1
Y3 Y 0.000 0.500 0.828 1
Y4 Y 0.500 0.000 0.172 1
Y5 Y 0.500 0.000 0.500 1
Y6 Y 0.500 0.000 0.828 1
Y7 Y 0.500 0.500 0.000 1
Y8 Y 0.500 0.500 0.336 1
Y9 Y 0.500 0.500 0.664 1


No. 2
# SrLaAu2 (PBE, optimized geometry)
# - V: 33.42 A^3/atom
# - Total moment: 0.000 μB per cell
# - E_tot: -2.969 eV per atom
data_SrLaAu2
_symmetry_space_group_name_H-M 'P 1'
_symmetry_Int_Tables_number 1
_cell_length_a 6.973
_cell_length_b 6.973
_cell_length_c 6.973
_cell_angle_alpha 151.66
_cell_angle_beta 123.02
_cell_angle_gamma 64.85
loop_
_symmetry_equiv_pos_as_xyz
'x,y,z'
loop_
_atom_site_label
_atom_site_type_symbol
_atom_site_fract_x
_atom_site_fract_y
_atom_site_fract_z
_atom_site_occupancy
Sr1 Sr 0.000 0.000 0.000 1
La1 La 0.500 0.500 0.000 1
Au1 Au 0.257 0.257 0.000 1
Au2 Au 0.743 0.743 0.000 1


No. 3
# Pr5NdSm6 (PBE, optimized geometry)
# - V: 34.92 A^3/atom
# - Total moment: 0.000 μB per cell
# - E_tot: -4.737 eV per atom
data_Pr5NdSm6
_symmetry_space_group_name_H-M 'P 1'
_symmetry_Int_Tables_number 1
_cell_length_a 6.367
_cell_length_b 6.367
_cell_length_c 12.125
_cell_angle_alpha 95.03
_cell_angle_beta 95.03
_cell_angle_gamma 120.01
loop_
_symmetry_equiv_pos_as_xyz
'x,y,z'
loop_
_atom_site_label
_atom_site_type_symbol
_atom_site_fract_x
_atom_site_fract_y
_atom_site_fract_z
_atom_site_occupancy
Pr1 Pr 0.000 0.000 0.000 1
Pr2 Pr 0.167 0.833 0.500 1
Pr3 Pr 0.333 0.667 0.000 1
Pr4 Pr 0.667 0.333 0.000 1
Pr5 Pr 0.833 0.167 0.500 1
Nd1 Nd 0.500 0.500 0.500 1
Sm1 Sm 0.084 0.417 0.250 1
Sm2 Sm 0.250 0.250 0.750 1
Sm3 Sm 0.417 0.084 0.250 1
Sm4 Sm 0.583 0.916 0.750 1
Sm5 Sm 0.750 0.750 0.250 1
Sm6 Sm 0.916 0.583 0.750 1


Repeat the third record exactly.
# Pr5NdSm6 (PBE, optimized geometry)
# - V: 34.92 A^3/atom
# - Total moment: 0.000 μB per cell
# - E_tot: -4.737 eV per atom
data_Pr5NdSm6
_symmetry_space_group_name_H-M 'P 1'
_symmetry_Int_Tables_number 1
_cell_length_a 6.367
_cell_length_b 6.367
_cell_length_c 12.125
_cell_angle_alpha 95.03
_cell_angle_beta 95.03
_cell_angle_gamma 120.01
loop_
_symmetry_equiv_pos_as_xyz
'x,y,z'
loop_
_atom_site_label
_atom_site_type_symbol
_atom_site_fract_x
_atom_site_fract_y
_atom_site_fract_z
_atom_site_occupancy
Pr1 Pr 0.000 0.000 0.000 1
Pr2 Pr 0.167 0.833 0.500 1
Pr3 Pr 0.333 0.667 0.000 1
Pr4 Pr 0.667 0.333 0.000 1
Pr5 Pr 0.833 0.167 0.500 1
Nd1 Nd 0.500 0.500 0.500 1
Sm1 Sm 0.084 0.417 0.250 1
Sm2 Sm 0.250 0.250 0.750 1
Sm3 Sm 0.417 0.084 0.250 1
Sm4 Sm 0.583 0.916 0.750 1
Sm5 Sm 0.750 0.750 0.250 1
Sm6 Sm 0.916 0.583 0.750 1


Number 3 is which compound? Pr5NdSm6